The following is a DFT calculation (PBE) of a geometry-optimized TlCu8S6 structure.

Values from the calculation:
SG: R-3 (148)
Energy relative to the elements, uncorrected, eV/atom: -0.138

Cell: 6.738 6.738 8.595 Å, 66.92 66.92 60.00°
Atoms (fractional coordinates):
1 S 0.235 0.913 0.277
2 Cu 0.438 0.438 0.687
3 S 0.765 0.087 0.723
4 Cu 0.110 0.624 0.432
5 Cu 0.890 0.376 0.568
6 Cu 0.835 0.110 0.432
7 Tl 0.000 0.000 0.000
8 S 0.575 0.235 0.277
9 Cu 0.624 0.835 0.432
10 S 0.913 0.575 0.277
11 S 0.087 0.425 0.723
12 Cu 0.562 0.562 0.313
13 S 0.425 0.765 0.723
14 Cu 0.165 0.890 0.568
15 Cu 0.376 0.165 0.568